Crystalline Rb2WCl7 at its relaxed geometry, computed with PBE.

Values from the calculation:
Formation energy (no corrections), meV/atom: -1212
Volume, Å³/f.u.: 318
SG: C2/c (15)
Uncorrected energy, eV per formula unit: -39.938
Crystal system: monoclinic
ρ, kg/m³: 3148
N(E_F), states/eV/f.u.: 5.42

Lattice parameters (Å, degrees): 7.9072 10.1812 9.4692 84.69 65.32 67.15
Closest atoms and distances in Å follow each position.
Atoms (fractional coordinates):
Cl1 0.8025 0.4973 0.8247  1 W 2.36
Cl2 0.2995 0.2610 0.5809  1 W 2.52
Cl3 0.3508 0.7500 0.2500  1 W 2.47
Cl4 0.7005 0.7390 0.4191  1 W 2.52
Cl5 0.9715 0.3038 0.4897  1 W 2.45
Cl6 0.2350 0.8038 0.9897  1 W 2.45
Cl7 0.8587 0.7610 0.0809  1 W 2.52
Cl8 0.7650 0.1962 0.0103  1 W 2.45
Cl9 0.1975 0.5027 0.1753  1 W 2.36
Cl10 0.1246 0.0027 0.6753  1 W 2.36
Cl11 0.8754 0.9973 0.3247  1 W 2.36
Cl12 0.1413 0.2390 0.9191  1 W 2.52
Cl13 0.6492 0.2500 0.7500  1 W 2.47
Cl14 0.0285 0.6962 0.5103  1 W 2.45
W1 0.9610 0.2500 0.7500  7 Cl 2.36-2.52
W2 0.0390 0.7500 0.2500  7 Cl 2.36-2.52
Rb1 0.2525 0.5430 0.7810  8 Cl 3.31-3.61
Rb2 0.7475 0.4570 0.2190  8 Cl 3.31-3.61
Rb3 0.5764 0.9570 0.7190  8 Cl 3.31-3.61
Rb4 0.4236 0.0430 0.2810  8 Cl 3.31-3.61